Entry 1:
{
  "formula": "CdOs2C4",
  "functional": "PBE-GGA",
  "state": "optimized geometry",
  "cell": [[-2.1031, 2.1031, 6.8596], [2.1031, -2.1031, 6.8596], [2.1031, 2.1031, -6.8596]],
  "species": ["Cd", "Os", "Os", "C", "C", "C", "C"],
  "frac_coords": [[0.0000, 0.0000, 0.0000], [0.4085, 0.4085, 0.0000], [0.5915, 0.5915, 0.0000], [0.0000, 0.5000, 0.5000], [0.2841, 0.2841, 0.0000], [0.5000, 0.0000, 0.5000], [0.7159, 0.7159, 0.0000]],
  "spacegroup": "I4/mmm",
  "e_tot_ev_per_cell": -42.5
}

Entry 2:
{
  "formula": "Pr2CdOsC",
  "functional": "PBE-GGA",
  "state": "optimized geometry",
  "cell": [[5.3286, 0.0000, 0.0000], [0.0000, 5.3286, 0.0000], [0.0000, 0.0000, 3.9416]],
  "species": ["Pr", "Pr", "Cd", "Os", "C"],
  "frac_coords": [[0.0000, 0.5000, 0.0000], [0.5000, 0.0000, 0.0000], [0.0000, 0.0000, 0.5000], [0.5000, 0.5000, 0.5000], [0.5000, 0.5000, 0.0000]],
  "spacegroup": "P4/mmm",
  "e_tot_ev_per_cell": -32.2
}

Entry 3:
{
  "formula": "Sc2CdOsC",
  "functional": "PBE-GGA",
  "state": "optimized geometry",
  "cell": [[4.6396, 0.0000, 0.0000], [0.0000, 4.6396, 0.0000], [0.0000, 0.0000, 3.9184]],
  "species": ["Sc", "Sc", "Cd", "Os", "C"],
  "frac_coords": [[0.0000, 0.5000, 0.0000], [0.5000, 0.0000, 0.0000], [0.0000, 0.0000, 0.5000], [0.5000, 0.5000, 0.5000], [0.5000, 0.5000, 0.0000]],
  "spacegroup": "P4/mmm",
  "e_tot_ev_per_cell": -36.3
}

Table of energy relative to the elements (eV per formula unit), in record order: 17.80; -1.23; -2.23